Version w
The following is a DFT calculation (meta-GGA SCAN) of SrBe2Rh at its PBEsol-relaxed geometry.

abc: 2.9775 2.9775 6.8637
angles: 90.00 90.00 90.00
Last column: nearest neighbours and their distance in Å.
Sites, in units of the cell vectors:
Rh1 0.5000 0.5000 0.0000  8 Be 2.37
Be1 0.0000 0.0000 0.8407  1 Be 2.19, 4 Rh 2.37
Be2 0.0000 0.0000 0.1593  1 Be 2.19, 4 Rh 2.37
Sr1 0.5000 0.5000 0.5000  4 Sr 2.98, 8 Be 3.15

magnetic moment	0.0	μB/cell

=====

Version x
The following is a DFT calculation (meta-GGA SCAN) of SrBe2Rh at its PBEsol-relaxed geometry.

abc: 3.8713 3.8713 5.8753
angles: 70.80 70.80 60.00
Last column: nearest neighbours and their distance in Å.
Sites, in units of the cell vectors:
Sr1 0.7515 0.7515 0.7443  1 Be 2.96, 4 Rh 3.11-3.23
Rh1 0.5616 0.5616 0.3158  6 Be 2.27-2.32
Be1 0.2532 0.2532 0.2407  3 Be 2.25, 3 Rh 2.27
Be2 0.9338 0.9338 0.1991  3 Be 2.25, 3 Rh 2.32

magnetic moment	0.0	μB/cell

=====

Which structure loses on stability? version w does.

=====

Version w
The following is a DFT calculation (meta-GGA SCAN) of SrBeRh at its PBEsol-relaxed geometry.

abc: 4.5868 4.5868 4.5868
angles: 60.00 60.00 60.00
Last column: nearest neighbours and their distance in Å.
Sites, in units of the cell vectors:
Sr1 0.2500 0.2500 0.2500  4 Rh 2.81, 4 Be 2.81
Be1 0.0000 0.0000 0.0000  4 Sr 2.81
Rh1 0.5000 0.5000 0.5000  4 Sr 2.81

magnetic moment	0.0	μB/cell

=====

Version x
The following is a DFT calculation (meta-GGA SCAN) of SrBeRh at its PBEsol-relaxed geometry.

abc: 3.8709 3.8709 4.5217
angles: 90.00 90.00 120.00
Last column: nearest neighbours and their distance in Å.
Sites, in units of the cell vectors:
Rh1 0.3333 0.6667 0.0000  3 Be 2.23
Sr1 0.6667 0.3333 0.5000  6 Be 3.18, 6 Rh 3.18
Be1 0.0000 0.0000 0.0000  3 Rh 2.23

magnetic moment	0.0	μB/cell

=====

Which structure loses on stability? version w does.

=====

Version w
The following is a DFT calculation (meta-GGA SCAN) of TaBe2Rh at its PBEsol-relaxed geometry.

abc: 2.7918 4.0106 4.8486
angles: 103.07 90.00 110.37
Last column: nearest neighbours and their distance in Å.
Sites, in units of the cell vectors:
Be1 0.2611 0.5221 0.3213  2 Be 2.26, 3 Rh 2.28-2.33
Be2 0.7389 0.4779 0.6787  2 Be 2.26, 3 Rh 2.28-2.33
Rh1 0.0000 0.0000 0.5000  6 Be 2.28-2.33
Ta1 0.5000 0.0000 0.0000  6 Be 2.60-2.65, 2 Ta 2.79, 4 Rh 2.80

magnetic moment	0.0	μB/cell

=====

Version x
The following is a DFT calculation (meta-GGA SCAN) of TaBe2Rh at its PBEsol-relaxed geometry.

abc: 2.8498 3.6349 4.6961
angles: 90.00 107.66 90.00
Last column: nearest neighbours and their distance in Å.
Sites, in units of the cell vectors:
Be1 0.6836 0.5000 0.3671  2 Be 2.13
Rh1 0.0952 0.0000 0.1904  7 Be 2.37-2.58
Ta1 0.4113 0.5000 0.8227  7 Be 2.44-2.49
Be2 0.8067 0.0000 0.6133  2 Be 2.13, 2 Rh 2.37

magnetic moment	0.0	μB/cell

=====

Version y
The following is a DFT calculation (meta-GGA SCAN) of TaBe2Rh at its PBEsol-relaxed geometry.

abc: 2.7324 2.7324 8.0974
angles: 80.29 80.29 60.00
Last column: nearest neighbours and their distance in Å.
Sites, in units of the cell vectors:
Be1 0.0085 0.0085 0.9744  3 Be 2.37
Be2 0.7494 0.7494 0.7517  3 Be 2.37, 3 Rh 2.38
Rh1 0.4906 0.4906 0.5281  3 Be 2.38
Ta1 0.2514 0.2514 0.2458  3 Be 2.67, 6 Ta 2.73, 3 Rh 2.74

magnetic moment	0.0	μB/cell

=====

Which structure loses on stability? version y does.